[1]
DFT (SCAN) results for a crystal of Sc2AsN relaxed with PBEsol.

Cell: 5.638 5.638 5.638 Å, 113.36 113.36 101.94°
Element x y z (fractional)
Sc: 0.047 0.625 0.922
Sc: 0.375 0.297 0.422
Sc: 0.703 0.125 0.078
Sc: 0.875 0.953 0.578
As: 0.250 0.750 0.500
As: 0.500 0.500 0.000
N: 0.000 0.000 0.000
N: 0.750 0.250 0.500

Computed properties:
ΔE_f (raw)   -1.5230 eV/atom
Space group   No. 122



[2]
DFT (SCAN) results for a crystal of LiTiP4O12 relaxed with PBEsol.

Cell: 8.544 8.544 9.685 Å, 119.32 119.32 50.59°
Element x y z (fractional)
Li: 0.195 0.805 0.750
Li: 0.805 0.195 0.250
Ti: 0.363 0.637 0.250
Ti: 0.637 0.363 0.750
P: 0.050 0.211 0.637
P: 0.192 0.534 0.833
P: 0.211 0.050 0.137
P: 0.466 0.808 0.667
P: 0.534 0.192 0.333
P: 0.789 0.950 0.863
P: 0.808 0.466 0.167
P: 0.950 0.789 0.363
O: 0.005 0.847 0.544
O: 0.020 0.258 0.214
O: 0.108 0.697 0.276
O: 0.136 0.362 0.704
O: 0.153 0.995 0.956
O: 0.246 0.534 0.005
O: 0.258 0.020 0.714
O: 0.303 0.892 0.224
O: 0.347 0.513 0.784
O: 0.362 0.136 0.204
O: 0.466 0.754 0.495
O: 0.487 0.653 0.716
O: 0.513 0.347 0.284
O: 0.534 0.246 0.505
O: 0.638 0.864 0.796
O: 0.653 0.487 0.216
O: 0.697 0.108 0.776
O: 0.742 0.980 0.286
O: 0.754 0.466 0.995
O: 0.847 0.005 0.044
O: 0.864 0.638 0.296
O: 0.892 0.303 0.724
O: 0.980 0.742 0.786
O: 0.995 0.153 0.456

Computed properties:
ΔE_f (raw)   -2.5232 eV/atom
Space group   No. 15



[3]
DFT (SCAN) results for a crystal of V3HPd relaxed with PBEsol.

Cell: 3.810 3.810 3.810 Å, 90.00 90.00 90.00°
Element x y z (fractional)
V: 0.000 0.000 0.500
V: 0.000 0.500 0.000
V: 0.500 0.000 0.000
H: 0.000 0.000 0.000
Pd: 0.500 0.500 0.500

Computed properties:
Fermi-level density of states   0.7725 states/eV/atom
Space group   No. 221



[4]
DFT (SCAN) results for a crystal of IrPt2Cl relaxed with PBEsol.

Cell: 4.421 4.421 4.421 Å, 60.00 60.00 60.00°
Element x y z (fractional)
Ir: 0.000 0.000 0.000
Pt: 0.250 0.250 0.250
Pt: 0.750 0.750 0.750
Cl: 0.500 0.500 0.500

Computed properties:
ΔE_f (raw)   0.7964 eV/atom
Fermi-level density of states   0.2954 states/eV/atom
Space group   No. 225



[5]
DFT (SCAN) results for a crystal of Co7Ge4 relaxed with PBEsol.

Cell: 3.914 3.914 9.742 Å, 90.00 90.00 120.00°
Element x y z (fractional)
Co: 0.000 0.000 0.000
Co: 0.333 0.667 0.259
Co: 0.333 0.667 0.741
Co: 0.667 0.333 0.127
Co: 0.667 0.333 0.381
Co: 0.667 0.333 0.619
Co: 0.667 0.333 0.873
Ge: 0.000 0.000 0.251
Ge: 0.000 0.000 0.749
Ge: 0.333 0.667 0.000
Ge: 0.333 0.667 0.500

Computed properties:
DFT formation energy   -21 kJ/mol of formula units
Fermi-level density of states   0.8804 states/eV/atom
Space group   No. 187



[6]
DFT (SCAN) results for a crystal of Al2H12Se3O15 relaxed with PBEsol.

Cell: 8.690 8.690 10.797 Å, 90.00 90.00 120.00°
Element x y z (fractional)
Al: 0.333 0.667 0.028
Al: 0.333 0.667 0.472
Al: 0.667 0.333 0.528
Al: 0.667 0.333 0.972
H: 0.053 0.476 0.596
H: 0.053 0.476 0.904
H: 0.200 0.418 0.639
H: 0.200 0.418 0.861
H: 0.218 0.800 0.639
H: 0.218 0.800 0.861
H: 0.418 0.200 0.139
H: 0.418 0.200 0.361
H: 0.423 0.947 0.596
H: 0.423 0.947 0.904
H: 0.476 0.053 0.096
H: 0.476 0.053 0.404
H: 0.524 0.577 0.596
H: 0.524 0.577 0.904
H: 0.577 0.524 0.096
H: 0.577 0.524 0.404
H: 0.582 0.782 0.639
H: 0.582 0.782 0.861
H: 0.782 0.582 0.139
H: 0.782 0.582 0.361
H: 0.800 0.218 0.139
H: 0.800 0.218 0.361
H: 0.947 0.423 0.096
H: 0.947 0.423 0.404
Se: 0.124 0.738 0.250
Se: 0.262 0.386 0.250
Se: 0.386 0.262 0.750
Se: 0.614 0.876 0.250
Se: 0.738 0.124 0.750
Se: 0.876 0.614 0.750
O: 0.094 0.768 0.750
O: 0.129 0.611 0.127
O: 0.129 0.611 0.373
O: 0.166 0.478 0.572
O: 0.166 0.478 0.928
O: 0.232 0.326 0.750
O: 0.312 0.834 0.572
O: 0.312 0.834 0.928
O: 0.326 0.232 0.250
O: 0.389 0.519 0.127
O: 0.389 0.519 0.373
O: 0.478 0.166 0.072
O: 0.478 0.166 0.428
O: 0.481 0.871 0.127
O: 0.481 0.871 0.373
O: 0.519 0.389 0.627
O: 0.519 0.389 0.873
O: 0.522 0.688 0.572
O: 0.522 0.688 0.928
O: 0.611 0.129 0.627
O: 0.611 0.129 0.873
O: 0.674 0.906 0.750
O: 0.688 0.522 0.072
O: 0.688 0.522 0.428
O: 0.768 0.094 0.250
O: 0.834 0.312 0.072
O: 0.834 0.312 0.428
O: 0.871 0.481 0.627
O: 0.871 0.481 0.873
O: 0.906 0.674 0.250

Computed properties:
Fermi-level density of states   0.0000 states/eV/atom
Space group   No. 190



[7]
DFT (SCAN) results for a crystal of KFeHgBi2 relaxed with PBEsol.

Cell: 4.951 4.951 6.184 Å, 90.00 90.00 90.00°
Element x y z (fractional)
K: 0.000 0.000 0.000
Fe: 0.000 0.000 0.500
Hg: 0.500 0.500 0.000
Bi: 0.000 0.500 0.500
Bi: 0.500 0.000 0.500

Computed properties:
DFT formation energy   106 kJ/mol of formula units
Fermi-level density of states   0.5143 states/eV/atom
Space group   No. 123



[8]
DFT (SCAN) results for a crystal of Rb2NbF6 relaxed with PBEsol.

Cell: 6.111 6.111 4.651 Å, 90.00 90.00 120.00°
Element x y z (fractional)
Rb: 0.333 0.667 0.204
Rb: 0.667 0.333 0.796
Nb: 0.000 0.000 0.500
F: 0.161 0.322 0.725
F: 0.161 0.839 0.725
F: 0.322 0.161 0.275
F: 0.678 0.839 0.725
F: 0.839 0.161 0.275
F: 0.839 0.678 0.275

Computed properties:
ΔE_f (raw)   -3.1549 eV/atom
Space group   No. 164



[9]
DFT (SCAN) results for a crystal of Al2HgBr relaxed with PBEsol.

Cell: 4.623 5.453 3.351 Å, 90.00 90.00 90.00°
Element x y z (fractional)
Al: 0.000 0.000 0.000
Al: 0.500 0.500 0.497
Hg: 0.000 0.500 0.998
Br: 0.500 0.000 0.498

Computed properties:
ΔE_f (raw)   -0.0104 eV/atom
Fermi-level density of states   0.3338 states/eV/atom
Space group   No. 25



[10]
DFT (SCAN) results for a crystal of Ba4La2SbRuO12 relaxed with PBEsol.

Cell: 6.025 6.026 10.511 Å, 90.51 106.31 119.38°
Element x y z (fractional)
Ba: 0.241 0.123 0.370
Ba: 0.255 0.631 0.883
Ba: 0.745 0.369 0.117
Ba: 0.759 0.877 0.630
La: 0.498 0.748 0.250
La: 0.502 0.252 0.750
Sb: 0.000 0.500 0.500
Ru: 0.000 0.000 0.000
O: 0.169 0.587 0.355
O: 0.192 0.097 0.868
O: 0.223 0.358 0.095
O: 0.233 0.871 0.592
O: 0.266 0.923 0.110
O: 0.282 0.428 0.608
O: 0.718 0.572 0.392
O: 0.734 0.077 0.890
O: 0.767 0.129 0.408
O: 0.777 0.642 0.905
O: 0.808 0.903 0.132
O: 0.831 0.413 0.645

Computed properties:
ΔE_f (raw)   -2.7710 eV/atom
Space group   No. 2



[11]
DFT (SCAN) results for a crystal of CrNi2Ru relaxed with PBEsol.

Cell: 4.330 4.330 4.330 Å, 131.00 131.00 71.81°
Element x y z (fractional)
Cr: 0.000 0.000 0.000
Ni: 0.250 0.750 0.500
Ni: 0.500 0.500 0.000
Ru: 0.750 0.250 0.500

Computed properties:
DFT formation energy   22 kJ/mol of formula units
Fermi-level density of states   1.0385 states/eV/atom
Space group   No. 119



| no. | VASP energy (eV/atom) |
| --- | --- |
| 1 | -16.012 |
| 2 | -10.012 |
| 3 | -17.905 |
| 4 | -54.069 |
| 5 | -17.972 |
| 6 | -7.967 |
| 7 | -50.137 |
| 8 | -13.805 |
| 9 | -25.793 |
| 10 | -22.335 |
| 11 | -21.333 |